No. 1
First-principles (PBE) data for a relaxed La8SmTh3 crystal, as listed in Alexandria.

```
data_La8SmTh3
_chemical_formula_sum 'La8 Sm1 Th3'
_cell_length_a 6.3950
_cell_length_b 6.3950
_cell_length_c 11.9903
_cell_angle_alpha 90.00
_cell_angle_beta 90.00
_cell_angle_gamma 120.00
_symmetry_space_group_name_H-M 'P -3 1 m'
_symmetry_Int_Tables_number 162
_symmetry_space_group_name_Hall '-P 3 2'
loop_
_atom_site_label
_atom_site_type_symbol
_atom_site_fract_x
_atom_site_fract_y
_atom_site_fract_z
La1 La 0.0000 0.3326 0.2402
La2 La 0.3333 0.6667 0.5000
Sm1 Sm 0.0000 0.0000 0.5000
Th1 Th 0.0000 0.0000 0.0000
Th2 Th 0.3333 0.6667 0.0000
```

## Properties
D(E_F) = 1.73 states/eV/atom
total magnetic moment = 0.0000 μB/atom
E_form = 0.344 eV/f.u.
V = 425 Å³/f.u.

---

No. 2
First-principles (PBE) data for a relaxed Si6NiMo9 crystal, as listed in Alexandria.

```
data_Si6NiMo9
_chemical_formula_sum 'Si12 Ni2 Mo18'
_cell_length_a 9.597
_cell_length_b 9.597
_cell_length_c 4.933
_cell_angle_alpha 90.00
_cell_angle_beta 90.00
_cell_angle_gamma 90.00
_symmetry_space_group_name_H-M 'I -4 2 m'
_symmetry_Int_Tables_number 121
_symmetry_space_group_name_Hall 'I -4 2'
loop_
_atom_site_label
_atom_site_type_symbol
_atom_site_fract_x
_atom_site_fract_y
_atom_site_fract_z
Si1 Si 0.000 0.500 0.000
Si2 Si 0.161 0.161 0.228
Ni1 Ni 0.000 0.000 0.000
Mo1 Mo 0.000 0.000 0.500
Mo2 Mo 0.078 0.275 0.749
```

## Properties
D(E_F) = 0.63 states/eV/atom
formation energy (no corrections) = -6.334 eV per formula unit
total magnetic moment = 0.0000 μB/atom
V = 227 Å³/f.u.

---

No. 3
First-principles (PBE) data for a relaxed La2ZrNi crystal, as listed in Alexandria.

```
data_La2ZrNi
_chemical_formula_sum 'La2 Zr1 Ni1'
_cell_length_a 3.536
_cell_length_b 3.541
_cell_length_c 8.259
_cell_angle_alpha 90.00
_cell_angle_beta 90.12
_cell_angle_gamma 90.00
_symmetry_space_group_name_H-M 'P 1 2/m 1'
_symmetry_Int_Tables_number 10
_symmetry_space_group_name_Hall '-P 2y'
loop_
_atom_site_label
_atom_site_type_symbol
_atom_site_fract_x
_atom_site_fract_y
_atom_site_fract_z
La1 La 0.001 0.000 0.289
Zr1 Zr 0.500 0.500 0.000
Ni1 Ni 0.500 0.500 0.500
```

## Properties
D(E_F) = 1.34 states/eV/atom
excess energy over the best structure of this formula in the dataset = 98 meV per atom
total magnetic moment = 0.0001 μB/atom
E_form = 0.062 eV/f.u.
V = 103 Å³/f.u.

---

No. 4
First-principles (PBE) data for a relaxed Li3BiO3 crystal, as listed in Alexandria.

```
data_Li3BiO3
_chemical_formula_sum 'Li24 Bi8 O24'
_cell_length_a 8.946
_cell_length_b 8.946
_cell_length_c 8.946
_cell_angle_alpha 90.00
_cell_angle_beta 90.00
_cell_angle_gamma 90.00
_symmetry_space_group_name_H-M 'I -4 3 m'
_symmetry_Int_Tables_number 217
_symmetry_space_group_name_Hall 'I -4 2 3'
loop_
_atom_site_label
_atom_site_type_symbol
_atom_site_fract_x
_atom_site_fract_y
_atom_site_fract_z
Li1 Li 0.086 0.378 0.622
Bi1 Bi 0.141 0.141 0.859
O1 O 0.128 0.128 0.628
```

## Properties
D(E_F) = 0.00 states/eV/atom
formation energy (no corrections) = -11.188 eV per formula unit
excess energy over the best structure of this formula in the dataset = 61 meV per atom
total magnetic moment = 0.0000 μB/atom
V = 89 Å³/f.u.